# 1
Cs2PdI3Cl (PBE, optimized geometry); E = -3.01 eV/atom; SG = Amm2; volume = 48.18 Å³/atom
1.0
5.1040 0.0000 0.0000
0.0000 5.4561 6.0550
0.0000 -5.4561 6.0550
Cs Pd I Cl
2 1 3 1
Cartesian
0.0000 -3.0029 6.0550
0.0000 3.0029 6.0550
2.5520 0.0000 9.1094
2.5520 -2.6563 9.1022
2.5520 0.0000 6.4884
2.5520 2.6563 9.1022
2.5520 0.0000 11.5085

---

# 2
BaCuNiAs (PBE, optimized geometry); SG = F-43m; volume = 21.51 Å³/atom; polymorph energy (0 for the lowest one) = 160 meV per atom
1.0
0.0000 3.5038 3.5038
3.5038 0.0000 3.5038
3.5038 3.5038 0.0000
Ba Cu Ni As
1 1 1 1
Cartesian
0.0000 0.0000 0.0000
3.5038 3.5038 3.5038
5.2557 5.2557 5.2557
1.7519 1.7519 1.7519

---

# 3
SrErNO (PBE, optimized geometry); SG = P4/mmm; volume = 15.49 Å³/atom; polymorph energy (0 for the lowest one) = 75 meV per atom
1.0
3.4889 0.0000 0.0000
0.0000 3.4889 0.0000
0.0000 0.0000 5.0912
Sr Er N O
1 1 1 1
Cartesian
0.0000 0.0000 0.0000
1.7444 1.7444 2.5456
0.0000 0.0000 2.5456
1.7444 1.7444 0.0000